(1)
{"formula": "Mg2ReCl", "functional": "PBE", "state": "relaxed", "lattice": [[0.000, 3.409, 3.409], [3.409, 0.000, 3.409], [3.409, 3.409, 0.000]], "species": ["Mg", "Mg", "Re", "Cl"], "fractional_positions": [[0.250, 0.250, 0.250], [0.750, 0.750, 0.750], [0.000, 0.000, 0.000], [0.500, 0.500, 0.500]], "relative_energy_ev_per_atom": 0.9352, "density_g_cm3": 5.664, "raw_formation_energy_ev_per_atom": 0.77, "magmom_total_mub_per_cell": 2.255, "e_tot_ev_per_atom": -3.602, "dos_ef_per_ev_cell": 3.765, "spacegroup": "Fm-3m (225)"}

***

(2)
{"formula": "Mg2ReCl", "functional": "PBE", "state": "relaxed", "lattice": [[1.775, -2.388, 0.000], [1.775, 2.388, 0.000], [0.000, 0.000, 8.245]], "species": ["Mg", "Mg", "Re", "Cl"], "fractional_positions": [[0.000, 0.000, 0.245], [0.000, 0.000, 0.755], [0.500, 0.500, 0.000], [0.500, 0.500, 0.500]], "relative_energy_ev_per_atom": 0.0626, "density_g_cm3": 6.420, "raw_formation_energy_ev_per_atom": -0.10, "magmom_total_mub_per_cell": 0.000, "e_tot_ev_per_atom": -4.475, "dos_ef_per_ev_cell": 0.991, "spacegroup": "Cmmm (65)"}

***

(3)
{"formula": "MgReCl4", "functional": "PBE", "state": "relaxed", "lattice": [[0.000, 4.171, 4.171], [4.171, 0.000, 4.171], [4.171, 4.171, 0.000]], "species": ["Mg", "Re", "Cl", "Cl", "Cl", "Cl"], "fractional_positions": [[0.000, 0.000, 0.000], [0.750, 0.750, 0.750], [0.375, 0.375, 0.375], [0.375, 0.375, 0.875], [0.375, 0.875, 0.375], [0.875, 0.375, 0.375]], "density_g_cm3": 4.030, "raw_formation_energy_ev_per_atom": 1.07, "magmom_total_mub_per_cell": 3.632, "e_tot_ev_per_atom": -2.504, "dos_ef_per_ev_cell": 4.449, "spacegroup": "F-43m (216)"}

***

(4)
{"formula": "MgRe2Cl", "functional": "PBE", "state": "relaxed", "lattice": [[2.496, -5.046, 0.000], [2.496, 5.046, 0.000], [0.000, 0.000, 2.737]], "species": ["Mg", "Re", "Re", "Cl"], "fractional_positions": [[0.000, 0.000, 0.000], [0.000, 0.500, 0.500], [0.500, 0.000, 0.500], [0.500, 0.500, 0.000]], "relative_energy_ev_per_atom": 0.9322, "density_g_cm3": 10.407, "raw_formation_energy_ev_per_atom": 0.99, "magmom_total_mub_per_cell": 0.000, "e_tot_ev_per_atom": -6.097, "dos_ef_per_ev_cell": 3.238, "spacegroup": "Cmmm (65)"}

***

(5)
{"formula": "Mg2ReCl", "functional": "PBE", "state": "relaxed", "lattice": [[5.187, -1.434, 0.000], [5.187, 1.434, 0.000], [-1.329, 0.000, 4.849]], "species": ["Mg", "Mg", "Re", "Cl"], "fractional_positions": [[0.000, 0.000, 0.000], [0.200, 0.200, 0.633], [0.457, 0.457, 0.502], [0.781, 0.781, 0.180]], "relative_energy_ev_per_atom": 0.2695, "density_g_cm3": 6.219, "raw_formation_energy_ev_per_atom": 0.10, "magmom_total_mub_per_cell": 0.000, "e_tot_ev_per_atom": -4.268, "dos_ef_per_ev_cell": 0.056, "spacegroup": "Cm (8)"}

***

(6)
{"formula": "Mg2ReCl", "functional": "PBE", "state": "relaxed", "lattice": [[2.865, 0.000, 0.000], [0.000, 2.865, 0.000], [0.000, 0.000, 10.302]], "species": ["Mg", "Mg", "Re", "Cl"], "fractional_positions": [[0.000, 0.000, 0.000], [0.500, 0.500, 0.258], [0.000, 0.000, 0.454], [0.500, 0.500, 0.856]], "relative_energy_ev_per_atom": 0.4669, "density_g_cm3": 5.306, "raw_formation_energy_ev_per_atom": 0.30, "magmom_total_mub_per_cell": 0.000, "e_tot_ev_per_atom": -4.070, "dos_ef_per_ev_cell": 2.713, "spacegroup": "P4mm (99)"}

***

(7)
{"formula": "MgRe2Cl", "functional": "PBE", "state": "relaxed", "lattice": [[2.712, 0.000, 0.000], [0.000, 2.712, 0.000], [0.000, 0.000, 8.796]], "species": ["Mg", "Re", "Re", "Cl"], "fractional_positions": [[0.000, 0.000, 0.000], [0.500, 0.500, 0.252], [0.500, 0.500, 0.748], [0.000, 0.000, 0.500]], "relative_energy_ev_per_atom": 0.9294, "density_g_cm3": 11.095, "raw_formation_energy_ev_per_atom": 0.98, "magmom_total_mub_per_cell": 0.000, "e_tot_ev_per_atom": -6.100, "dos_ef_per_ev_cell": 3.698, "spacegroup": "P4/mmm (123)"}

***

(8)
{"formula": "MgRe2Cl2", "functional": "PBE", "state": "relaxed", "lattice": [[-2.095, 2.095, 5.635], [2.095, -2.095, 5.635], [2.095, 2.095, -5.635]], "species": ["Mg", "Re", "Re", "Cl", "Cl"], "fractional_positions": [[0.000, 0.000, 0.000], [0.402, 0.402, 0.000], [0.598, 0.598, 0.000], [0.250, 0.750, 0.500], [0.750, 0.250, 0.500]], "relative_energy_ev_per_atom": 0.0000, "density_g_cm3": 7.852, "raw_formation_energy_ev_per_atom": 0.74, "magmom_total_mub_per_cell": 0.329, "e_tot_ev_per_atom": -5.298, "dos_ef_per_ev_cell": 5.534, "spacegroup": "I4/mmm (139)"}